Compound: LiGaHg2As
Source: Alexandria
Functional: PBE-GGA
Structure: relaxed

calculated formation energy	0.177	eV per atom
symmetry	P4/mmm (123)
magnetic moment	0.0	μB per formula unit

Cell: 5.0603 4.6743 5.0603 Å, 90.00 90.00 90.00°
Last column: nearest neighbours and their distance in Å.
Positions (direct):
1 As 0.0000 0.5000 0.0000  2 Li 2.34
2 Hg 0.0000 0.0000 0.5000  2 Li 2.53
3 Hg 0.5000 0.0000 0.0000  2 Li 2.53
4 Ga 0.5000 0.5000 0.5000  8 Hg 3.44, 4 As 3.58
5 Li 0.0000 0.0000 0.0000  2 As 2.34, 4 Hg 2.53

***

Compound: Ac6Rh3Cl
Source: Alexandria
Functional: PBE-GGA
Structure: relaxed

ΔE_f (raw)	-0.768	eV per atom
symmetry	P2_1/m (11)
magnetic moment	0.0	μB per formula unit

Cell: 4.2699 12.3952 14.7696 Å, 116.73 90.00 90.00°
Last column: nearest neighbours and their distance in Å.
Positions (direct):
1 Ac 0.7500 0.1690 0.5819  3 Rh 2.97
2 Ac 0.2500 0.8310 0.4181  3 Rh 2.97
3 Ac 0.7500 0.1381 0.0893  3 Rh 2.95-3.07
4 Ac 0.2500 0.8619 0.9107  3 Rh 2.95-3.07
5 Ac 0.7500 0.6540 0.5850  3 Rh 2.98-3.03
6 Ac 0.2500 0.3460 0.4150  3 Rh 2.98-3.03
7 Ac 0.7500 0.5310 0.2714  3 Rh 2.98-2.99
8 Ac 0.2500 0.4690 0.7286  3 Rh 2.98-2.99
9 Ac 0.7500 0.2776 0.8873  3 Rh 2.94-3.19
10 Ac 0.2500 0.7224 0.1127  3 Rh 2.94-3.19
11 Ac 0.7500 0.0158 0.2816  3 Rh 2.96-2.98
12 Ac 0.2500 0.9842 0.7184  3 Rh 2.96-2.98
13 Rh 0.7500 0.4024 0.5706  6 Ac 2.97-3.03
14 Rh 0.2500 0.5976 0.4294  6 Ac 2.97-3.03
15 Rh 0.7500 0.7663 0.2621  6 Ac 2.94-2.98
16 Rh 0.2500 0.2337 0.7379  6 Ac 2.94-2.98
17 Rh 0.7500 0.0098 0.8659  6 Ac 2.95-3.19
18 Rh 0.2500 0.9902 0.1341  6 Ac 2.95-3.19
19 Cl 0.7500 0.6511 0.9084  6 Ac 3.36-3.47
20 Cl 0.2500 0.3489 0.0916  6 Ac 3.36-3.47

***

Q: Number 1 is which compound?
A: LiGaHg2As